## AcTc6 (PBE-GGA)

Data for an optimized crystal structure of AcTc6.

Cell and atoms, written as POSCAR:
```
AcTc6
1.0
-5.4781 0.5508 2.1379
1.9539 -5.4866 0.9813
3.5613 3.8686 2.6897
Tc Ac
6 1
Direct
0.5000 0.2500 0.7500
0.5000 0.7500 0.2500
0.7500 0.2500 0.5000
0.2500 0.5000 0.7500
0.7500 0.5000 0.2500
0.2500 0.7500 0.5000
0.0000 0.0000 0.0000
```

Calculated values
formation energy	0.67	eV/atom
uncorrected energy	-61.59	eV/f.u.
total magnetic moment	0.0	μB/f.u.